# 1
VASP calculation (PBEsol) on a geometry-optimized NaMgMnP2 structure.

a b c (Å): 4.8252 4.8252 4.9028
angles (deg): 90.00 90.00 90.00
Sites, in units of the cell vectors:
Na1 0.0000 0.0000 0.0000
Mg1 0.5000 0.5000 0.5000
Mn1 0.5000 0.5000 0.0000
P1 0.0000 0.5000 0.5000
P2 0.5000 0.0000 0.5000

volume = 114 Å³/cell
E_form = 805 meV/atom

# 2
VASP calculation (PBEsol) on a geometry-optimized Mg3MnNb structure.

a b c (Å): 4.7231 4.7231 4.7231
angles (deg): 90.00 90.00 90.00
Sites, in units of the cell vectors:
Mg1 0.0000 0.0000 0.5000
Mg2 0.0000 0.5000 0.0000
Mg3 0.5000 0.0000 0.0000
Mn1 0.0000 0.0000 0.0000
Nb1 0.5000 0.5000 0.5000

volume = 105 Å³/cell
E_form = 1229 meV/atom

# 3
VASP calculation (PBEsol) on a geometry-optimized MgMnNb2Tc structure.

a b c (Å): 4.6723 4.6723 4.1095
angles (deg): 90.00 90.00 90.00
Sites, in units of the cell vectors:
Mg1 0.0000 0.0000 0.0000
Mn1 0.0000 0.0000 0.5000
Nb1 0.0000 0.5000 0.0000
Nb2 0.5000 0.0000 0.0000
Tc1 0.5000 0.5000 0.5000

volume = 90 Å³/cell
E_form = 1974 meV/atom

# 4
VASP calculation (PBEsol) on a geometry-optimized MgMnNi6 structure.

a b c (Å): 6.1186 6.1186 9.9912
angles (deg): 90.00 90.00 109.49
Sites, in units of the cell vectors:
Mg1 0.0000 0.0000 0.2492
Mg2 0.0000 0.0000 0.7508
Mg3 0.2472 0.7528 0.5000
Mg4 0.7528 0.2472 0.5000
Mn1 0.2464 0.7536 0.0000
Mn2 0.5000 0.5000 0.2501
Mn3 0.5000 0.5000 0.7499
Mn4 0.7536 0.2464 0.0000
Ni1 0.0000 0.0000 0.0000
Ni2 0.0000 0.0000 0.5000
Ni3 0.1288 0.3812 0.1222
Ni4 0.1288 0.3812 0.8778
Ni5 0.1326 0.3795 0.3713
Ni6 0.1326 0.3795 0.6287
Ni7 0.2534 0.7466 0.2443
Ni8 0.2534 0.7466 0.7557
Ni9 0.3795 0.1326 0.3713
Ni10 0.3795 0.1326 0.6287
Ni11 0.3812 0.1288 0.1222
Ni12 0.3812 0.1288 0.8778
Ni13 0.5000 0.5000 0.0000
Ni14 0.5000 0.5000 0.5000
Ni15 0.6188 0.8712 0.1222
Ni16 0.6188 0.8712 0.8778
Ni17 0.6205 0.8674 0.3713
Ni18 0.6205 0.8674 0.6287
Ni19 0.7466 0.2534 0.2443
Ni20 0.7466 0.2534 0.7557
Ni21 0.8674 0.6205 0.3713
Ni22 0.8674 0.6205 0.6287
Ni23 0.8712 0.6188 0.1222
Ni24 0.8712 0.6188 0.8778

volume = 353 Å³/cell
E_form = -59 meV/atom

# 5
VASP calculation (PBEsol) on a geometry-optimized Mg2MnNi structure.

a b c (Å): 3.0320 3.0320 6.9379
angles (deg): 90.00 90.00 90.00
Sites, in units of the cell vectors:
Mg1 0.0000 0.0000 0.0000
Mg2 0.5000 0.5000 0.3340
Mn1 0.0000 0.0000 0.5976
Ni1 0.5000 0.5000 0.7642

volume = 64 Å³/cell
E_form = 90 meV/atom

# 6
VASP calculation (PBEsol) on a geometry-optimized Mg30MnNiO32 structure.

a b c (Å): 8.4420 8.4420 8.4423
angles (deg): 90.00 90.00 90.00
Sites, in units of the cell vectors:
Mg1 0.0000 0.0000 0.0000
Mg2 0.0000 0.0000 0.5000
Mg3 0.0000 0.2502 0.2503
Mg4 0.0000 0.2502 0.7497
Mg5 0.0000 0.5000 0.0000
Mg6 0.0000 0.5000 0.5000
Mg7 0.0000 0.7498 0.2503
Mg8 0.0000 0.7498 0.7497
Mg9 0.2495 0.2495 0.0000
Mg10 0.2495 0.7505 0.0000
Mg11 0.2502 0.0000 0.2503
Mg12 0.2502 0.0000 0.7497
Mg13 0.2513 0.2513 0.5000
Mg14 0.2505 0.5000 0.2514
Mg15 0.2505 0.5000 0.7486
Mg16 0.2513 0.7487 0.5000
Mg17 0.5000 0.0000 0.0000
Mg18 0.5000 0.0000 0.5000
Mg19 0.5000 0.2505 0.2514
Mg20 0.5000 0.2505 0.7486
Mg21 0.5000 0.7495 0.2514
Mg22 0.5000 0.7495 0.7486
Mg23 0.7487 0.2513 0.5000
Mg24 0.7495 0.5000 0.2514
Mg25 0.7495 0.5000 0.7486
Mg26 0.7487 0.7487 0.5000
Mg27 0.7498 0.0000 0.2503
Mg28 0.7498 0.0000 0.7497
Mg29 0.7505 0.2495 0.0000
Mg30 0.7505 0.7505 0.0000
Mn1 0.5000 0.5000 0.0000
Ni1 0.5000 0.5000 0.5000
O1 0.0000 0.0000 0.2502
O2 0.0000 0.0000 0.7498
O3 0.0000 0.2495 0.0000
O4 0.0000 0.2502 0.5000
O5 0.0000 0.5000 0.2509
O6 0.0000 0.5000 0.7491
O7 0.0000 0.7498 0.5000
O8 0.0000 0.7505 0.0000
O9 0.2452 0.5000 0.0000
O10 0.2495 0.0000 0.0000
O11 0.2492 0.5000 0.5000
O12 0.2502 0.0000 0.5000
O13 0.2505 0.2505 0.2500
O14 0.2505 0.2505 0.7500
O15 0.2505 0.7495 0.2500
O16 0.2505 0.7495 0.7500
O17 0.5000 0.0000 0.2509
O18 0.5000 0.0000 0.7491
O19 0.5000 0.2452 0.0000
O20 0.5000 0.2492 0.5000
O21 0.5000 0.5000 0.2451
O22 0.5000 0.5000 0.7549
O23 0.5000 0.7508 0.5000
O24 0.5000 0.7548 0.0000
O25 0.7495 0.2505 0.2500
O26 0.7495 0.2505 0.7500
O27 0.7495 0.7495 0.2500
O28 0.7495 0.7495 0.7500
O29 0.7498 0.0000 0.5000
O30 0.7505 0.0000 0.0000
O31 0.7508 0.5000 0.5000
O32 0.7548 0.5000 0.0000

volume = 602 Å³/cell
uncorrected formation energy = -2624 meV per atom